Pr4Nd9Cd11 (PBE-GGA, relaxed); crystal system = orthorhombic; DFT formation energy = -0.252 eV/atom; ρ = 7.35 g/cm³; Fermi-level density of states = 1.158 states/eV/atom; SG = No. 65
1.0
-1.4052 -3.3864 0.2874
7.2590 -1.9858 12.0937
-12.8190 5.5551 2.7765
Pr Nd Cd
4 9 11
Cartesian
-6.1066 1.3202 9.2271
-0.8586 -1.1373 5.9306
-2.6849 0.0351 10.8149
-4.2803 0.1478 4.3427
1.7975 -2.0626 8.0146
-8.7627 2.2455 7.1431
-7.4790 1.4214 3.7098
0.5138 -1.2385 11.4479
-7.5170 2.1806 12.4675
0.5518 -1.9976 2.6902
-3.7564 0.7681 14.2126
-3.2088 -0.5852 0.9451
-3.4826 0.0915 7.5788
-7.9283 4.1195 9.7733
2.3683 -0.5502 5.0970
-0.6440 1.3837 13.1535
-4.9160 2.1857 1.7167
-0.1584 0.8001 8.6517
-5.4015 2.7693 6.2186
3.6180 -0.6183 10.4041
-9.1780 4.1876 4.4661
0.0000 0.0000 0.0000
-4.3685 2.8045 11.6837
-1.1915 0.7649 3.1866

---

TmCdAg (PBE-GGA, relaxed); crystal system = cubic; DFT formation energy = -0.126 eV/atom; ρ = 8.43 g/cm³; Fermi-level density of states = 0.854 states/eV/atom; SG = No. 216
1.0
4.7690 0.0000 0.0000
2.3845 4.1301 0.0000
2.3845 1.3767 3.8939
Tm Ag Cd
1 1 1
Cartesian
0.0000 0.0000 0.0000
2.3845 1.3767 0.9735
4.7690 2.7534 1.9470

---

Ba2InGePd6 (PBE-GGA, relaxed); crystal system = triclinic; DFT formation energy = -0.565 eV/atom; ρ = 7.75 g/cm³; Fermi-level density of states = 0.385 states/eV/atom; SG = No. 2
1.0
-6.3824 -1.9001 -1.5391
-1.4723 -2.5019 6.5998
-4.1803 2.9589 2.7378
Ba In Ge Pd
2 1 1 6
Cartesian
-7.0908 -0.2441 1.7437
-4.9442 -1.1991 6.0548
0.0000 0.0000 0.0000
-3.9274 -2.2010 2.5303
-3.9969 0.2576 2.8980
-5.9797 -3.1553 3.5551
-2.2114 -1.3538 4.2342
-9.8236 -0.0893 3.5643
-6.0553 1.7121 4.2433
-8.0381 -1.7007 4.9005

---

Looking at magnetization for the records above, in order, we have 0.0000, 0.0000, 0.0000 μB per atom.